# TmCuSb

An optimized crystal structure of TmCuSb (PBE-GGA, Alexandria).

abc: 4.3053 4.3053 4.0570
angles: 90.00 90.00 120.00
Space group P3m1 (No. 156)
Unique sites:
Tm (0.0000, 0.0000, 0.0000) x1
Cu (0.3333, 0.6667, 0.4289) x1
Sb (0.6667, 0.3333, 0.5134) x1

Properties
Raw formation energy (eV per formula unit): -1.84
Calculated total energy (eV/cell): -14.5
Crystal system: trigonal

# TbPm5Pr12

An optimized crystal structure of TbPm5Pr12 (PBE-GGA, Alexandria).

abc: 6.4091 11.0994 18.1067
angles: 90.00 96.77 90.00
Space group C2/m (No. 12)
Unique sites:
Tb (0.0000, 0.0000, 0.0000) x2
Pm (0.0000, 0.1668, 0.5000) x4
Pm (0.0000, 0.3334, 0.0000) x4
Pm (0.0000, 0.5000, 0.5000) x2
Pr (0.1102, 0.0000, 0.3338) x4
Pr (0.1102, 0.3333, 0.3338) x8
Pr (0.2206, 0.1662, 0.1648) x8
Pr (0.2219, 0.5000, 0.1648) x4

Properties
E_form (meV/atom): 6
Calculated total energy (eV/cell): -171.2
Crystal system: monoclinic